(1)
# Tb5BiTe5

An optimized crystal structure of Tb5BiTe5 (PBE, Alexandria via LeMat-Bulk).

The structure in POSCAR format:
```
Tb5BiTe5
1.0
6.2263 0.0000 0.0000
-3.1132 6.8987 -0.0723
0.0000 -2.6611 8.3273
Tb Bi Te
5 1 5
direct
0.8336 0.6672 0.1713
0.8346 0.6692 0.6635
0.5000 0.0000 0.0000
0.1654 0.3308 0.3365
0.1664 0.3328 0.8287
0.0000 0.0000 0.0000
0.6621 0.3242 0.3373
0.6660 0.3320 0.8295
0.0000 0.0000 0.5000
0.3340 0.6680 0.1705
0.3379 0.6758 0.6627
```

Results
- Raw total energy: -5.198 eV per atom
- Formation energy (no corrections): -1.313 eV/atom
- V: 356.49 Å³/cell
- ρ: 7.647 g cm⁻³
- Magnetic moment: 0.0 Bohr magnetons per cell

(2)
# Tb5Bi4Te

An optimized crystal structure of Tb5Bi4Te (PBE, Alexandria via LeMat-Bulk).

The structure in POSCAR format:
```
Tb5Bi4Te
1.0
6.3225 0.0000 0.0000
3.1613 7.0644 0.0000
3.1613 0.0000 7.0644
Tb Bi Te
5 4 1
direct
0.9001 0.4021 0.7994
0.3023 0.7994 0.5979
0.6995 0.2006 0.4021
0.1017 0.5979 0.2006
0.5015 0.0000 0.0000
0.4008 0.3994 0.8010
0.8002 0.8010 0.6006
0.2018 0.1990 0.3994
0.6011 0.6006 0.1990
0.0014 0.0000 0.0000
```

Results
- Raw total energy: -5.171 eV per atom
- Formation energy (no corrections): -0.990 eV/atom
- V: 315.53 Å³/cell
- ρ: 9.253 g cm⁻³
- Magnetic moment: 0.0 Bohr magnetons per cell

(3)
# Tb3BiTe6

An optimized crystal structure of Tb3BiTe6 (PBE, Alexandria via LeMat-Bulk).

The structure in POSCAR format:
```
Tb3BiTe6
1.0
7.6095 0.0000 0.0000
0.0000 9.6228 -0.0177
0.0000 -2.1646 9.3762
Tb Bi Te
6 2 12
direct
0.4847 0.9179 0.7188
0.9847 0.7188 0.9179
0.3726 0.4098 0.5902
0.8726 0.5902 0.4098
0.9847 0.0821 0.2812
0.4847 0.2812 0.0821
0.0013 0.1796 0.8204
0.5013 0.8204 0.1796
0.1726 0.7047 0.6296
0.6726 0.6296 0.7047
0.2159 0.4441 0.9029
0.7159 0.9029 0.4441
0.2494 0.0030 0.9970
0.6156 0.2341 0.7659
0.1156 0.7659 0.2341
0.7494 0.9970 0.0030
0.2159 0.0971 0.5559
0.7159 0.5559 0.0971
0.1726 0.3704 0.2953
0.6726 0.2953 0.3704
```

Results
- Raw total energy: -4.701 eV per atom
- Formation energy (no corrections): -1.039 eV/atom
- V: 686.28 Å³/cell
- ρ: 7.023 g cm⁻³
- E above lowest polymorph: 0.219 eV per formula unit
- Magnetic moment: 0.0 Bohr magnetons per cell

(4)
# TbBi3Te6

An optimized crystal structure of TbBi3Te6 (PBE, Alexandria via LeMat-Bulk).

The structure in POSCAR format:
```
TbBi3Te6
1.0
-2.9995 -2.9691 -1.1727
7.0316 -2.8150 -10.8584
3.8076 -7.7507 9.8846
Tb Bi Te
2 6 12
direct
0.7500 0.0411 0.6928
0.2500 0.9589 0.3072
0.7500 0.4393 0.8392
0.2500 0.5607 0.1608
0.7500 0.7023 0.4649
0.2500 0.2977 0.5351
0.7500 0.1492 0.0997
0.2500 0.8508 0.9003
0.7500 0.4693 0.6181
0.2500 0.5307 0.3819
0.7500 0.9259 0.1104
0.2500 0.0741 0.8896
0.7500 0.3955 0.0721
0.2500 0.6045 0.9279
0.7500 0.7629 0.2639
0.2500 0.2371 0.7361
0.7500 0.0986 0.4696
0.2500 0.9014 0.5304
0.7500 0.8098 0.7344
0.2500 0.1902 0.2656
```

Results
- Raw total energy: -4.009 eV per atom
- Formation energy (no corrections): -0.497 eV/atom
- V: 716.37 Å³/cell
- ρ: 7.193 g cm⁻³
- Magnetic moment: 0.0 Bohr magnetons per cell

(5)
# Tb3BiTe

An optimized crystal structure of Tb3BiTe (PBE, Alexandria via LeMat-Bulk).

The structure in POSCAR format:
```
Tb3BiTe
1.0
-0.0038 2.9829 3.0356
-1.4040 -6.0731 5.9660
8.8376 -0.7832 0.7808
Tb Bi Te
6 2 2
direct
0.7500 0.6226 0.3697
0.2500 0.3774 0.6303
0.7500 0.3439 0.9922
0.2500 0.8808 0.6343
0.2500 0.6561 0.0078
0.7500 0.1192 0.3657
0.2500 0.3674 0.2612
0.7500 0.6326 0.7388
0.2500 0.8703 0.2908
0.7500 0.1297 0.7092
```

Results
- Raw total energy: -4.998 eV per atom
- Formation energy (no corrections): -0.816 eV/atom
- V: 326.81 Å³/cell
- ρ: 8.265 g cm⁻³
- E above lowest polymorph: 0.315 eV per formula unit
- Magnetic moment: 0.0 Bohr magnetons per cell

(6)
# Tb2BiTe2

An optimized crystal structure of Tb2BiTe2 (PBE, Alexandria via LeMat-Bulk).

The structure in POSCAR format:
```
Tb2BiTe2
1.0
-6.4400 -5.1110 0.9877
5.1758 -6.4506 -0.4153
0.9800 3.6383 4.6394
Tb Bi Te
4 2 4
direct
0.3918 0.6082 0.2500
0.8368 0.1632 0.2500
0.1632 0.8368 0.7500
0.6082 0.3918 0.7500
0.1222 0.8778 0.2500
0.8778 0.1222 0.7500
0.7911 0.5716 0.4807
0.4284 0.2089 0.0193
0.5716 0.7911 0.9807
0.2089 0.4284 0.5193
```

Results
- Raw total energy: -4.775 eV per atom
- Formation energy (no corrections): -0.890 eV/atom
- V: 332.65 Å³/cell
- ρ: 7.808 g cm⁻³
- Magnetic moment: 0.0 Bohr magnetons per cell

(7)
# Tb5BiTe4

An optimized crystal structure of Tb5BiTe4 (PBE, Alexandria via LeMat-Bulk).

The structure in POSCAR format:
```
Tb5BiTe4
1.0
4.3242 0.0000 -0.8342
-0.3197 5.9695 -1.6570
0.0008 0.0046 11.6283
Tb Bi Te
5 1 4
direct
0.6011 0.1011 0.2022
0.8003 0.3003 0.6007
0.1997 0.6997 0.3993
0.0000 0.5000 0.0000
0.3989 0.8989 0.7978
0.0000 0.0000 0.0000
0.3998 0.3998 0.7997
0.7991 0.7991 0.5981
0.2009 0.2009 0.4019
0.6002 0.6002 0.2003
```

Results
- Raw total energy: -5.195 eV per atom
- Formation energy (no corrections): -1.235 eV/atom
- V: 300.20 Å³/cell
- ρ: 8.375 g cm⁻³
- E above lowest polymorph: 0.000 eV per formula unit
- Magnetic moment: 0.0 Bohr magnetons per cell

(8)
# Tb6BiTe4

An optimized crystal structure of Tb6BiTe4 (PBE, Alexandria via LeMat-Bulk).

The structure in POSCAR format:
```
Tb6BiTe4
1.0
-1.3855 3.5585 -1.9087
-3.4771 -5.6439 -3.2241
-16.2883 1.5887 14.7855
Tb Bi Te
12 2 8
direct
0.5000 0.0000 0.0000
0.5000 0.0000 0.5000
0.0589 0.1178 0.3327
0.9411 0.8822 0.6673
0.9411 0.8822 0.8327
0.0589 0.1178 0.1673
0.7647 0.5294 0.3939
0.2353 0.4706 0.6061
0.2353 0.4706 0.8939
0.7647 0.5294 0.1061
0.3387 0.6774 0.2500
0.6613 0.3226 0.7500
0.6739 0.3478 0.2500
0.3261 0.6522 0.7500
0.8528 0.7055 0.5358
0.4176 0.8352 0.1251
0.1472 0.2945 0.4642
0.5824 0.1648 0.8749
0.8528 0.7055 0.9642
0.1472 0.2945 0.0358
0.5824 0.1648 0.6251
0.4176 0.8352 0.3749
```

Results
- Raw total energy: -5.113 eV per atom
- Formation energy (no corrections): -1.092 eV/atom
- V: 664.34 Å³/cell
- ρ: 8.363 g cm⁻³
- Magnetic moment: 0.8 Bohr magnetons per cell

(9)
# Tb3BiTe6

An optimized crystal structure of Tb3BiTe6 (PBE, Alexandria via LeMat-Bulk).

The structure in POSCAR format:
```
Tb3BiTe6
1.0
4.4342 0.0000 0.0000
0.0000 12.2252 -4.2155
0.0000 -0.1547 12.7988
Tb Bi Te
6 2 12
direct
0.7500 0.4328 0.8363
0.2500 0.5672 0.1637
0.7500 0.6660 0.4914
0.2500 0.3340 0.5086
0.7500 0.1545 0.0714
0.2500 0.8455 0.9286
0.7500 0.9947 0.6799
0.2500 0.0053 0.3201
0.7500 0.4914 0.6219
0.2500 0.5086 0.3781
0.7500 0.9251 0.1021
0.2500 0.0749 0.8979
0.7500 0.3893 0.0617
0.2500 0.6107 0.9383
0.7500 0.7322 0.2777
0.2500 0.2678 0.7223
0.7500 0.1254 0.4835
0.2500 0.8746 0.5165
0.7500 0.7925 0.7466
0.2500 0.2075 0.2534
```

Results
- Raw total energy: -4.723 eV per atom
- Formation energy (no corrections): -1.061 eV/atom
- V: 690.91 Å³/cell
- ρ: 6.976 g cm⁻³
- E above lowest polymorph: 0.000 eV per formula unit
- Magnetic moment: 0.0 Bohr magnetons per cell

(10)
# Tb3BiTe

An optimized crystal structure of Tb3BiTe (PBE, Alexandria via LeMat-Bulk).

The structure in POSCAR format:
```
Tb3BiTe
1.0
4.4022 0.0000 0.0000
0.0000 8.2487 0.0000
0.0000 0.0000 16.6282
Tb Bi Te
12 4 4
direct
0.2500 0.3608 0.5630
0.7500 0.8340 0.2284
0.7500 0.5126 0.8954
0.7500 0.0126 0.6046
0.7500 0.6392 0.4370
0.2500 0.9874 0.3954
0.2500 0.8608 0.9370
0.7500 0.3340 0.2716
0.2500 0.6660 0.7284
0.2500 0.1660 0.7716
0.7500 0.1392 0.0630
0.2500 0.4874 0.1046
0.7500 0.8911 0.7990
0.2500 0.1089 0.2010
0.7500 0.3911 0.7010
0.2500 0.6089 0.2990
0.2500 0.2604 0.9490
0.2500 0.7604 0.5510
0.7500 0.2396 0.4490
0.7500 0.7396 0.0510
```

Results
- Raw total energy: -5.061 eV per atom
- Formation energy (no corrections): -0.879 eV/atom
- V: 603.81 Å³/cell
- ρ: 8.947 g cm⁻³
- E above lowest polymorph: 0.000 eV per formula unit
- Magnetic moment: 0.0 Bohr magnetons per cell

(11)
# Tb6BiTe3

An optimized crystal structure of Tb6BiTe3 (PBE, Alexandria via LeMat-Bulk).

The structure in POSCAR format:
```
Tb6BiTe3
1.0
-1.4420 3.8801 0.3713
-11.1637 -3.8361 -3.2691
0.2711 -1.1002 12.5517
Tb Bi Te
12 2 6
direct
0.7500 0.4842 0.6442
0.2500 0.5158 0.3558
0.7500 0.9563 0.1202
0.2500 0.0437 0.8798
0.7500 0.4231 0.1150
0.2500 0.5769 0.8850
0.7500 0.7522 0.3002
0.2500 0.2478 0.6998
0.7500 0.1210 0.4586
0.2500 0.8790 0.5414
0.7500 0.7870 0.7676
0.2500 0.2130 0.2324
0.7500 0.0460 0.6888
0.2500 0.9540 0.3112
0.7500 0.3878 0.8574
0.2500 0.6122 0.1426
0.7500 0.6755 0.5151
0.2500 0.3245 0.4849
0.7500 0.1679 0.0436
0.2500 0.8321 0.9564
```

Results
- Raw total energy: -5.020 eV per atom
- Formation energy (no corrections): -0.911 eV/atom
- V: 619.82 Å³/cell
- ρ: 8.280 g cm⁻³
- Magnetic moment: 0.0 Bohr magnetons per cell

(12)
# Tb2BiTe4

An optimized crystal structure of Tb2BiTe4 (PBE, Alexandria via LeMat-Bulk).

The structure in POSCAR format:
```
Tb2BiTe4
1.0
4.2976 0.0000 0.0000
0.0000 7.6993 -0.1193
-2.1488 -3.8722 7.6516
Tb Bi Te
2 1 4
direct
0.7419 0.7618 0.4837
0.2581 0.2382 0.5163
0.0000 0.0000 0.0000
0.8764 0.2059 0.7528
0.1236 0.7941 0.2472
0.6391 0.3041 0.2783
0.3609 0.6959 0.7217
```

Results
- Raw total energy: -4.629 eV per atom
- Formation energy (no corrections): -0.957 eV/atom
- V: 251.19 Å³/cell
- ρ: 6.857 g cm⁻³
- Magnetic moment: 0.0 Bohr magnetons per cell

(13)
# Tb5BiTe4

An optimized crystal structure of Tb5BiTe4 (PBE, Alexandria via LeMat-Bulk).

The structure in POSCAR format:
```
Tb5BiTe4
1.0
-2.6007 -3.5378 0.2568
2.3422 -1.9519 -3.1702
9.5274 -3.3859 12.1749
Tb Bi Te
5 1 4
direct
0.1006 0.1006 0.2012
0.5000 0.5000 0.0000
0.8994 0.8994 0.7988
0.2993 0.2993 0.5986
0.7007 0.7007 0.4014
0.0000 0.0000 0.0000
0.3994 0.3994 0.7988
0.8000 0.8000 0.5999
0.2000 0.2000 0.4001
0.6006 0.6006 0.2012
```

Results
- Raw total energy: -5.192 eV per atom
- Formation energy (no corrections): -1.232 eV/atom
- V: 300.20 Å³/cell
- ρ: 8.375 g cm⁻³
- E above lowest polymorph: 0.023 eV per formula unit
- Magnetic moment: 0.0 Bohr magnetons per cell

(14)
# Tb3Tl4BiTe8

An optimized crystal structure of Tb3Tl4BiTe8 (PBE, Alexandria via LeMat-Bulk).

The structure in POSCAR format:
```
Tb3Tl4BiTe8
1.0
8.9992 0.0000 0.0000
0.0000 9.6468 0.4521
-4.4996 -4.4965 6.3665
Tb Tl Bi Te
3 4 1 8
direct
0.5000 0.5000 0.0000
0.5000 0.5000 0.5000
0.0000 0.5000 0.5000
0.5000 0.0000 0.0000
0.5000 0.0000 0.5000
0.0000 0.0000 0.0000
0.0000 0.0000 0.5000
0.0000 0.5000 0.0000
0.2410 0.7158 0.9749
0.2410 0.7158 0.4819
0.2620 0.2861 0.5241
0.7339 0.7158 0.9749
0.2661 0.2842 0.0251
0.7380 0.7139 0.4759
0.7590 0.2842 0.5181
0.7590 0.2842 0.0251
```

Results
- Raw total energy: -4.141 eV per atom
- Formation energy (no corrections): -0.868 eV/atom
- V: 570.99 Å³/cell
- ρ: 7.340 g cm⁻³
- Magnetic moment: 0.0 Bohr magnetons per cell

(15)
# Tb6TlBi2Te3

An optimized crystal structure of Tb6TlBi2Te3 (PBE, Alexandria via LeMat-Bulk).

The structure in POSCAR format:
```
Tb6TlBi2Te3
1.0
4.4017 0.0000 0.0000
0.0000 8.9086 0.3507
-2.2008 -2.5338 9.3135
Tb Tl Bi Te
6 1 2 3
direct
0.3382 0.9183 0.6765
0.6675 0.5818 0.3350
0.6618 0.0817 0.3235
0.9994 0.2414 0.9987
0.0006 0.7586 0.0013
0.3325 0.4182 0.6650
0.5000 0.0000 0.0000
0.8335 0.6661 0.6671
0.1665 0.3339 0.3329
0.5000 0.5000 0.0000
0.8305 0.1665 0.6610
0.1695 0.8335 0.3390
```

Results
- Raw total energy: -4.967 eV per atom
- Formation energy (no corrections): -1.023 eV/atom
- V: 369.12 Å³/cell
- ρ: 8.811 g cm⁻³
- Magnetic moment: 0.0 Bohr magnetons per cell

(16)
# TbYBiTe

An optimized crystal structure of TbYBiTe (PBE, Alexandria via LeMat-Bulk).

The structure in POSCAR format:
```
TbYBiTe
1.0
4.3343 -0.0004 0.0002
-2.1665 3.7541 0.0002
-2.1652 -1.2504 7.6688
Tb Y Bi Te
1 1 1 1
direct
0.4758 0.1358 0.6269
0.1291 0.9625 0.1070
0.3062 0.5510 0.8725
0.9668 0.3814 0.3633
```

Results
- Raw total energy: -5.596 eV per atom
- Formation energy (no corrections): -1.067 eV/atom
- V: 124.78 Å³/cell
- ρ: 7.777 g cm⁻³
- Magnetic moment: 0.2 Bohr magnetons per cell

(17)
# TbThBi

An optimized crystal structure of TbThBi (PBE, Alexandria via LeMat-Bulk).

The structure in POSCAR format:
```
TbThBi
1.0
4.5490 0.0000 0.0130
0.0000 4.5490 -0.0130
-0.0232 0.0232 9.0613
Tb Th Bi
2 2 2
direct
0.2503 0.7497 0.6417
0.7497 0.2503 0.3583
0.7500 0.7500 0.0000
0.2500 0.2500 0.0000
0.7503 0.2497 0.7112
0.2497 0.7503 0.2888
```

Results
- Raw total energy: -5.785 eV per atom
- V: 187.51 Å³/cell
- Calculated formation energy: -0.475 eV/atom
- ρ: 10.626 g cm⁻³
- E above lowest polymorph: 0.000 eV per formula unit
- Magnetic moment: 0.0 Bohr magnetons per cell

(18)
# Tb2Th2Bi5

An optimized crystal structure of Tb2Th2Bi5 (PBE, Alexandria via LeMat-Bulk).

The structure in POSCAR format:
```
Tb2Th2Bi5
1.0
-2.5114 1.5685 7.9730
-2.6711 -8.6678 0.8639
8.3378 3.0660 2.0231
Tb Th Bi
4 4 10
direct
0.3462 0.1513 0.1513
0.6538 0.8487 0.8487
0.8462 0.3487 0.3487
0.1538 0.6513 0.6513
0.0000 0.8063 0.1937
0.5000 0.3063 0.6937
0.0000 0.1937 0.8063
0.5000 0.6937 0.3063
0.0000 0.0000 0.0000
0.5000 0.5000 0.5000
0.1535 0.2064 0.4830
0.8465 0.5170 0.7936
0.6535 0.0170 0.2936
0.3465 0.7064 0.9830
0.8465 0.7936 0.5170
0.1535 0.4830 0.2064
0.3465 0.9830 0.7064
0.6535 0.2936 0.0170
```

Results
- Raw total energy: -5.448 eV per atom
- V: 581.38 Å³/cell
- Calculated formation energy: -0.614 eV/atom
- ρ: 10.436 g cm⁻³
- Magnetic moment: 0.0 Bohr magnetons per cell

(19)
# Tb5ThBi4

An optimized crystal structure of Tb5ThBi4 (PBE, Alexandria via LeMat-Bulk).

The structure in POSCAR format:
```
Tb5ThBi4
1.0
-2.1680 0.6297 -3.8456
-7.0291 -3.6537 3.3644
0.4688 9.0491 3.8030
Tb Th Bi
5 1 4
direct
0.8123 0.6530 0.6246
0.8415 0.1948 0.6830
0.1585 0.8052 0.3170
0.5000 0.5000 0.0000
0.1877 0.3470 0.3754
0.5000 0.0000 0.0000
0.3273 0.9222 0.6546
0.9829 0.7288 0.9659
0.6727 0.0778 0.3454
0.0171 0.2712 0.0341
```

Results
- Raw total energy: -5.035 eV per atom
- V: 351.98 Å³/cell
- Calculated formation energy: -0.426 eV/atom
- ρ: 8.787 g cm⁻³
- Magnetic moment: 0.0 Bohr magnetons per cell